(1)
A relaxed Cu2TeOs crystal. Source: the Alexandria database, functional PBE.

Lattice parameters (Å, degrees): 2.902 2.902 8.933 90.00 90.00 117.21
Element x y z (fractional)
Cu (0.000, 0.000, 0.034)
Cu (0.500, 0.500, 0.248)
Os (0.000, 0.000, 0.482)
Te (0.500, 0.500, 0.736)

Calculated values
formation energy (no corrections): 0.77 eV per atom

***

(2)
A relaxed CuTeOs2 crystal. Source: the Alexandria database, functional PBE.

Lattice parameters (Å, degrees): 4.489 4.489 4.489 60.00 60.00 60.00
Element x y z (fractional)
Cu (0.500, 0.500, 0.500)
Os (0.000, 0.000, 0.000)
Os (0.250, 0.250, 0.250)
Te (0.750, 0.750, 0.750)

Calculated values
formation energy (no corrections): 0.84 eV per atom

***

(3)
A relaxed CuTeOs crystal. Source: the Alexandria database, functional PBE.

Lattice parameters (Å, degrees): 3.148 3.148 6.158 90.00 90.00 120.00
Element x y z (fractional)
Cu (0.000, 0.000, 0.019)
Os (0.667, 0.333, 0.332)
Te (0.333, 0.667, 0.649)

Calculated values
formation energy (no corrections): 0.69 eV per atom
energy above the most stable polymorph in this dataset: 0.185 eV/atom

***

(4)
A relaxed CuTeOs crystal. Source: the Alexandria database, functional PBE.

Lattice parameters (Å, degrees): 4.404 4.404 3.151 90.00 90.00 120.00
Element x y z (fractional)
Cu (0.000, 0.000, 0.000)
Os (0.667, 0.333, 0.500)
Te (0.333, 0.667, 0.500)

Calculated values
formation energy (no corrections): 0.78 eV per atom
energy above the most stable polymorph in this dataset: 0.270 eV/atom

***

(5)
A relaxed Cu2TeOs crystal. Source: the Alexandria database, functional PBE.

Lattice parameters (Å, degrees): 4.794 4.794 4.794 131.39 131.44 71.15
Element x y z (fractional)
Cu (0.000, 0.000, 0.000)
Cu (0.750, 0.250, 0.500)
Os (0.500, 0.500, 0.000)
Te (0.250, 0.750, 0.500)

Calculated values
formation energy (no corrections): 0.49 eV per atom

***

(6)
A relaxed CuTeOs2 crystal. Source: the Alexandria database, functional PBE.

Lattice parameters (Å, degrees): 6.334 6.334 6.334 153.50 141.74 47.15
Element x y z (fractional)
Cu (0.281, 0.781, 0.500)
Os (0.931, 0.931, 0.000)
Os (0.747, 0.247, 0.500)
Te (0.541, 0.541, 0.000)

Calculated values
formation energy (no corrections): 0.75 eV per atom